*one*
Material: YTcAs2
Method: DFT, PBE-GGA
State: optimized geometry

Results
Its mass density is 7.08 g/cm3. The symmetry is No. 166.

Geometry as CIF:
```
data_YTcAs2
_chemical_formula_sum 'Y1 Tc1 As2'
_cell_length_a 6.2123
_cell_length_b 6.2123
_cell_length_c 6.2123
_cell_angle_alpha 37.31
_cell_angle_beta 37.31
_cell_angle_gamma 37.31
_symmetry_space_group_name_H-M 'P 1'
_symmetry_Int_Tables_number 1
loop_
_symmetry_equiv_pos_as_xyz
'x,y,z'
loop_
_atom_site_label
_atom_site_fract_x
_atom_site_fract_y
_atom_site_fract_z
_atom_site_occupancy
Tc1 0.2500 0.2500 0.2500 1
As1 0.9840 0.9840 0.9840 1
As2 0.5160 0.5160 0.5160 1
Y1 0.7500 0.7500 0.7500 1
```


*two*
Material: YTcAs2
Method: DFT, PBE-GGA
State: optimized geometry

Results
Its mass density is 6.96 g/cm3. The symmetry is No. 10.

Geometry as CIF:
```
data_YTcAs2
_chemical_formula_sum 'Y1 Tc1 As2'
_cell_length_a 4.2009
_cell_length_b 3.6685
_cell_length_c 5.2162
_cell_angle_alpha 87.51
_cell_angle_beta 90.00
_cell_angle_gamma 90.00
_symmetry_space_group_name_H-M 'P 1'
_symmetry_Int_Tables_number 1
loop_
_symmetry_equiv_pos_as_xyz
'x,y,z'
loop_
_atom_site_label
_atom_site_fract_x
_atom_site_fract_y
_atom_site_fract_z
_atom_site_occupancy
As1 0.0000 0.2014 0.9919 1
As2 0.0000 0.2986 0.5081 1
Tc1 0.5000 0.2500 0.2500 1
Y1 0.5000 0.7500 0.7500 1
```


*three*
Material: YTcAs2
Method: DFT, PBE-GGA
State: optimized geometry

Results
Its mass density is 7.80 g/cm3. The symmetry is No. 65.

Geometry as CIF:
```
data_YTcAs2
_chemical_formula_sum 'Y1 Tc1 As2'
_cell_length_a 3.1909
_cell_length_b 3.1909
_cell_length_c 7.0429
_cell_angle_alpha 90.00
_cell_angle_beta 90.00
_cell_angle_gamma 90.16
_symmetry_space_group_name_H-M 'P 1'
_symmetry_Int_Tables_number 1
loop_
_symmetry_equiv_pos_as_xyz
'x,y,z'
loop_
_atom_site_label
_atom_site_fract_x
_atom_site_fract_y
_atom_site_fract_z
_atom_site_occupancy
Tc1 0.5000 0.5000 0.2500 1
As1 0.0000 0.0000 0.4600 1
Y1 0.5000 0.5000 0.7500 1
As2 0.0000 0.0000 0.0400 1
```


*four*
Material: YTcAs2
Method: DFT, PBE-GGA
State: optimized geometry

Results
Its mass density is 5.43 g/cm3. The symmetry is No. 122.

Geometry as CIF:
```
data_YTcAs2
_chemical_formula_sum 'Y2 Tc2 As4'
_cell_length_a 5.4914
_cell_length_b 5.4914
_cell_length_c 7.8607
_cell_angle_alpha 69.56
_cell_angle_beta 69.56
_cell_angle_gamma 90.00
_symmetry_space_group_name_H-M 'P 1'
_symmetry_Int_Tables_number 1
loop_
_symmetry_equiv_pos_as_xyz
'x,y,z'
loop_
_atom_site_label
_atom_site_fract_x
_atom_site_fract_y
_atom_site_fract_z
_atom_site_occupancy
As1 0.7022 0.1250 0.2500 1
Tc1 0.7500 0.2500 0.5000 1
Y1 0.5000 0.5000 0.0000 1
As2 0.3750 0.2978 0.7500 1
Y2 0.2500 0.7500 0.5000 1
As3 0.0478 0.6250 0.2500 1
As4 0.8750 0.9522 0.7500 1
Tc2 0.0000 0.0000 0.0000 1
```


Which one sits at the top of the stability order? *one* does.


*one*
Material: YTcAs2
Method: DFT, PBE-GGA
State: optimized geometry

Results
Its mass density is 7.22 g/cm3. The symmetry is No. 8.

Geometry as CIF:
```
data_YTcAs2
_chemical_formula_sum 'Y1 Tc1 As2'
_cell_length_a 5.0394
_cell_length_b 5.0394
_cell_length_c 5.0094
_cell_angle_alpha 75.30
_cell_angle_beta 75.30
_cell_angle_gamma 39.22
_symmetry_space_group_name_H-M 'P 1'
_symmetry_Int_Tables_number 1
loop_
_symmetry_equiv_pos_as_xyz
'x,y,z'
loop_
_atom_site_label
_atom_site_fract_x
_atom_site_fract_y
_atom_site_fract_z
_atom_site_occupancy
Tc1 0.4817 0.4817 0.6156 1
Y1 0.2480 0.2480 0.2086 1
As1 0.7658 0.7658 0.6960 1
As2 0.0046 0.0046 0.9798 1
```


*two*
Material: YTcAs2
Method: DFT, PBE-GGA
State: optimized geometry

Results
Its mass density is 7.74 g/cm3. The symmetry is No. 225.

Geometry as CIF:
```
data_YTcAs2
_chemical_formula_sum 'Y1 Tc1 As2'
_cell_length_a 4.6747
_cell_length_b 4.6747
_cell_length_c 4.6747
_cell_angle_alpha 60.00
_cell_angle_beta 60.00
_cell_angle_gamma 60.00
_symmetry_space_group_name_H-M 'P 1'
_symmetry_Int_Tables_number 1
loop_
_symmetry_equiv_pos_as_xyz
'x,y,z'
loop_
_atom_site_label
_atom_site_fract_x
_atom_site_fract_y
_atom_site_fract_z
_atom_site_occupancy
As1 0.7500 0.7500 0.7500 1
Tc1 0.5000 0.5000 0.5000 1
As2 0.2500 0.2500 0.2500 1
Y1 0.0000 0.0000 0.0000 1
```


*three*
Material: YTcAs2
Method: DFT, PBE-GGA
State: optimized geometry

Results
Its mass density is 7.34 g/cm3. The symmetry is No. 119.

Geometry as CIF:
```
data_YTcAs2
_chemical_formula_sum 'Y1 Tc1 As2'
_cell_length_a 5.6134
_cell_length_b 5.6134
_cell_length_c 5.6134
_cell_angle_alpha 138.74
_cell_angle_beta 138.74
_cell_angle_gamma 59.78
_symmetry_space_group_name_H-M 'P 1'
_symmetry_Int_Tables_number 1
loop_
_symmetry_equiv_pos_as_xyz
'x,y,z'
loop_
_atom_site_label
_atom_site_fract_x
_atom_site_fract_y
_atom_site_fract_z
_atom_site_occupancy
As1 0.0000 0.0000 0.0000 1
Y1 0.7500 0.2500 0.5000 1
As2 0.2500 0.7500 0.5000 1
Tc1 0.5000 0.5000 0.0000 1
```


Which one sits at the top of the stability order? *two* does.


*one*
Material: Y2TcAs
Method: DFT, PBE-GGA
State: optimized geometry

Results
Its mass density is 6.19 g/cm3. The symmetry is No. 160.

Geometry as CIF:
```
data_Y2TcAs
_chemical_formula_sum 'Y2 Tc1 As1'
_cell_length_a 6.1017
_cell_length_b 6.1017
_cell_length_c 6.1017
_cell_angle_alpha 42.57
_cell_angle_beta 42.57
_cell_angle_gamma 42.57
_symmetry_space_group_name_H-M 'P 1'
_symmetry_Int_Tables_number 1
loop_
_symmetry_equiv_pos_as_xyz
'x,y,z'
loop_
_atom_site_label
_atom_site_fract_x
_atom_site_fract_y
_atom_site_fract_z
_atom_site_occupancy
As1 0.4508 0.4508 0.4508 1
Y1 0.0308 0.0308 0.0308 1
Y2 0.2218 0.2218 0.2218 1
Tc1 0.7965 0.7965 0.7965 1
```


*two*
Material: Y2TcAs
Method: DFT, PBE-GGA
State: optimized geometry

Results
Its mass density is 6.83 g/cm3. The symmetry is No. 225.

Geometry as CIF:
```
data_Y2TcAs
_chemical_formula_sum 'Y2 Tc1 As1'
_cell_length_a 4.9405
_cell_length_b 4.9405
_cell_length_c 4.9405
_cell_angle_alpha 60.00
_cell_angle_beta 60.00
_cell_angle_gamma 60.00
_symmetry_space_group_name_H-M 'P 1'
_symmetry_Int_Tables_number 1
loop_
_symmetry_equiv_pos_as_xyz
'x,y,z'
loop_
_atom_site_label
_atom_site_fract_x
_atom_site_fract_y
_atom_site_fract_z
_atom_site_occupancy
Y1 0.7500 0.7500 0.7500 1
As1 0.0000 0.0000 0.0000 1
Y2 0.2500 0.2500 0.2500 1
Tc1 0.5000 0.5000 0.5000 1
```


Which one sits at the top of the stability order? *one* does.


*one*
Material: YTcAs3
Method: DFT, PBE-GGA
State: optimized geometry

Results
Its mass density is 5.99 g/cm3. The symmetry is No. 221.

Geometry as CIF:
```
data_YTcAs3
_chemical_formula_sum 'Y1 Tc1 As3'
_cell_length_a 4.8506
_cell_length_b 4.8506
_cell_length_c 4.8506
_cell_angle_alpha 90.00
_cell_angle_beta 90.00
_cell_angle_gamma 90.00
_symmetry_space_group_name_H-M 'P 1'
_symmetry_Int_Tables_number 1
loop_
_symmetry_equiv_pos_as_xyz
'x,y,z'
loop_
_atom_site_label
_atom_site_fract_x
_atom_site_fract_y
_atom_site_fract_z
_atom_site_occupancy
As1 0.5000 0.0000 0.0000 1
Tc1 0.0000 0.0000 0.0000 1
As2 0.0000 0.0000 0.5000 1
Y1 0.5000 0.5000 0.5000 1
As3 0.0000 0.5000 0.0000 1
```


*two*
Material: YTcAs3
Method: DFT, PBE-GGA
State: optimized geometry

Results
Its mass density is 4.78 g/cm3. The symmetry is No. 221.

Geometry as CIF:
```
data_YTcAs3
_chemical_formula_sum 'Y1 Tc1 As3'
_cell_length_a 5.2308
_cell_length_b 5.2308
_cell_length_c 5.2308
_cell_angle_alpha 90.00
_cell_angle_beta 90.00
_cell_angle_gamma 90.00
_symmetry_space_group_name_H-M 'P 1'
_symmetry_Int_Tables_number 1
loop_
_symmetry_equiv_pos_as_xyz
'x,y,z'
loop_
_atom_site_label
_atom_site_fract_x
_atom_site_fract_y
_atom_site_fract_z
_atom_site_occupancy
Y1 0.0000 0.0000 0.0000 1
As1 0.5000 0.0000 0.0000 1
As2 0.0000 0.0000 0.5000 1
As3 0.0000 0.5000 0.0000 1
Tc1 0.5000 0.5000 0.5000 1
```


Which one sits at the top of the stability order? *one* does.